# 1
DFT (GGA-PBE) results for an optimized crystal structure of BeCo2Se.

Values from the calculation:
formation energy without anion corrections: 97 meV per atom
E above lowest polymorph: 22 meV/atom

Unit cell a=2.888 b=2.888 c=5.419 alpha=90.00 beta=90.00 gamma=90.00
Space group P4/mmm (No. 123)
One atom of each set of equivalent atoms:
Be 0.000 0.000 0.000 x1
Co 0.500 0.500 0.231 x2
Se 0.000 0.000 0.500 x1



# 2
DFT (GGA-PBE) results for an optimized crystal structure of Ba2AlTe.

Values from the calculation:
formation energy without anion corrections: -731 meV per atom
E above lowest polymorph: 0 meV/atom

Unit cell a=4.297 b=4.315 c=8.157 alpha=90.00 beta=90.00 gamma=90.00
Space group Pmmm (No. 47)
One atom of each set of equivalent atoms:
Ba 0.000 0.000 0.248 x2
Al 0.500 0.500 0.500 x1
Te 0.500 0.500 0.000 x1



# 3
DFT (GGA-PBE) results for an optimized crystal structure of K2ZnSi.

Values from the calculation:
formation energy without anion corrections: 162 meV per atom

Unit cell a=13.045 b=13.045 c=4.552 alpha=90.00 beta=90.00 gamma=90.00
Space group I-42d (No. 122)
One atom of each set of equivalent atoms:
K 0.027 0.750 0.125 x8
Zn 0.000 0.000 0.500 x4
Si 0.000 0.000 0.000 x4



# 4
DFT (GGA-PBE) results for an optimized crystal structure of NdAlSi.

Values from the calculation:
formation energy without anion corrections: -55 meV per atom

Unit cell a=4.181 b=4.181 c=8.327 alpha=90.00 beta=90.00 gamma=90.00
Space group I4mm (No. 107)
One atom of each set of equivalent atoms:
Nd 0.000 0.000 0.000 x2
Al 0.000 0.000 0.355 x2
Si 0.000 0.000 0.649 x2



# 5
DFT (GGA-PBE) results for an optimized crystal structure of GeAsN2.

Values from the calculation:
formation energy without anion corrections: 452 meV per atom
E above lowest polymorph: 0 meV/atom

Unit cell a=3.0123 b=3.0123 c=18.1591 alpha=90.00 beta=90.00 gamma=120.00
Space group R-3m (No. 166, hexagonal axes)
One atom of each set of equivalent atoms:
Ge 0.0000 0.0000 0.0000 x3
As 0.0000 0.0000 0.5000 x3
N 0.0000 0.0000 0.3899 x6



# 6
DFT (GGA-PBE) results for an optimized crystal structure of La4NdHo2.

Values from the calculation:
formation enthalpy at 0 K: 70 meV per atom
E above lowest polymorph: 0 meV/atom

Unit cell a=6.550 b=24.702 c=6.919 alpha=90.00 beta=118.15 gamma=90.00
Space group Cc (No. 9)
One atom of each set of equivalent atoms:
La 0.000 0.019 0.000 x4
La 0.001 0.448 0.962 x4
La 0.371 0.232 0.743 x4
La 0.413 0.198 0.283 x4
Nd 0.467 0.375 0.874 x4
Ho 0.390 0.342 0.327 x4
Ho 0.438 0.093 0.920 x4